1.
This record from the Alexandria database describes IrOsN2 at its PBEsol-relaxed geometry. The functional is meta-GGA SCAN.

Summary:
Crystal system   trigonal
ρ   15.8 Mg/m³
SG   R-3m (166)
Formation energy (no corrections)   494 meV per atom
M_tot   0.00 Bohr magnetons per cell
V   43.1 Å³ per cell

a b c (Å): 2.757 2.757 6.732
angles (deg): 78.18 78.18 60.00
Atoms (fractional coordinates):
N (0.901, 0.901, 0.298)
N (0.099, 0.099, 0.702)
Ir (0.000, 0.000, 0.000)
Os (0.500, 0.500, 0.500)

2.
This record from the Alexandria database describes Bi16Pt11I6 at its PBEsol-relaxed geometry. The functional is meta-GGA SCAN.

Summary:
Crystal system   tetragonal
ρ   11.7 Mg/m³
SG   P42_12 (90)
Formation energy (no corrections)   -206 meV per atom
M_tot   0.00 Bohr magnetons per cell
V   1779.5 Å³ per cell

a b c (Å): 9.193 13.913 13.913
angles (deg): 90.00 90.00 90.00
Atoms (fractional coordinates):
I (0.000, 0.382, 0.618)
I (0.000, 0.882, 0.882)
I (0.009, 0.196, 0.396)
I (0.000, 0.618, 0.382)
I (0.000, 0.118, 0.118)
I (0.009, 0.104, 0.696)
I (0.009, 0.804, 0.604)
I (0.991, 0.396, 0.196)
I (0.991, 0.604, 0.804)
I (0.991, 0.696, 0.104)
I (0.991, 0.304, 0.896)
I (0.009, 0.896, 0.304)
Bi (0.352, 0.500, 0.000)
Bi (0.686, 0.439, 0.801)
Bi (0.706, 0.774, 0.429)
Bi (0.648, 0.000, 0.500)
Bi (0.678, 0.674, 0.675)
Bi (0.678, 0.175, 0.826)
Bi (0.294, 0.726, 0.929)
Bi (0.314, 0.061, 0.301)
Bi (0.686, 0.699, 0.939)
Bi (0.322, 0.675, 0.674)
Bi (0.276, 0.000, 0.000)
Bi (0.678, 0.326, 0.325)
Bi (0.294, 0.571, 0.226)
Bi (0.706, 0.071, 0.274)
Bi (0.686, 0.301, 0.061)
Bi (0.294, 0.274, 0.071)
Bi (0.054, 0.000, 0.500)
Bi (0.678, 0.825, 0.174)
Bi (0.314, 0.801, 0.439)
Bi (0.686, 0.561, 0.199)
Bi (0.322, 0.325, 0.326)
Bi (0.322, 0.826, 0.175)
Bi (0.724, 0.500, 0.500)
Bi (0.946, 0.500, 0.000)
Bi (0.724, 0.000, 0.000)
Bi (0.294, 0.429, 0.774)
Bi (0.314, 0.939, 0.699)
Bi (0.322, 0.174, 0.825)
Bi (0.706, 0.929, 0.726)
Bi (0.314, 0.199, 0.561)
Bi (0.706, 0.226, 0.571)
Bi (0.276, 0.500, 0.500)
Pt (0.500, 0.300, 0.700)
Pt (0.355, 0.000, 0.500)
Pt (0.502, 0.642, 0.497)
Pt (0.498, 0.142, 0.003)
Pt (0.502, 0.358, 0.503)
Pt (0.491, 0.593, 0.824)
Pt (0.498, 0.503, 0.358)
Pt (0.491, 0.676, 0.093)
Pt (0.500, 0.700, 0.300)
Pt (0.509, 0.824, 0.593)
Pt (0.502, 0.003, 0.142)
Pt (0.500, 0.200, 0.200)
Pt (0.509, 0.093, 0.676)
Pt (0.509, 0.907, 0.324)
Pt (0.500, 0.800, 0.800)
Pt (0.491, 0.407, 0.176)
Pt (0.491, 0.324, 0.907)
Pt (0.509, 0.176, 0.407)
Pt (0.645, 0.500, 0.000)
Pt (0.498, 0.858, 0.997)
Pt (0.498, 0.497, 0.642)
Pt (0.502, 0.997, 0.858)

3.
This record from the Alexandria database describes CaOsW at its PBEsol-relaxed geometry. The functional is meta-GGA SCAN.

Summary:
Crystal system   tetragonal
ρ   11.9 Mg/m³
SG   I4mm (107)
ΔE_f   0.423 eV per atom
M_tot   0.00 Bohr magnetons per cell
V   57.6 Å³ per cell

a b c (Å): 3.124 3.124 6.305
angles (deg): 104.35 104.35 90.00
Atoms (fractional coordinates):
Ca (0.005, 0.005, 0.010)
W (0.301, 0.301, 0.603)
Os (0.694, 0.694, 0.387)